This record from Alexandria via LeMat-Bulk describes a geometry-optimized Sr2PmCo2O6 structure. The functional is PBE with a Hubbard U.

Its total DFT energy (no corrections) is -6.38 eV/atom. The mass density comes out at 4.79 g cm⁻³.

The structure belongs to space group R-3m (No. 166, hexagonal axes); the cell edges are 5.9982, 5.9982 and 17.8235 Å and the angles 90.00°, 90.00° and 120.00°. The distinct sites, in fractional coordinates, are Sr at (0.0000, 0.0000, 0.1997), Pm at (0.0000, 0.0000, 0.0000), Co at (0.0000, 0.0000, 0.4209) and O at (0.0130, 0.5065, 0.7586).